# 1
Entry from Alexandria via LeMat-Bulk: a relaxed SrHg2TeRu crystal (PBE).

Values from the calculation:
**Fermi-level density of states**: 6.61 states/eV/f.u.
**Final energy**: -2.765 eV per atom
**Energy relative to the elements, uncorrected**: 0.18 eV per atom

Unit cell a=5.199 b=5.199 c=6.022 alpha=90.00 beta=90.00 gamma=90.00
Space group P4/mmm (No. 123)
Asymmetric unit:
Sr: 0.000 0.000 0.000 (multiplicity 1)
Hg: 0.000 0.500 0.500 (multiplicity 2)
Te: 0.500 0.500 0.000 (multiplicity 1)
Ru: 0.000 0.000 0.500 (multiplicity 1)



# 2
Entry from Alexandria via LeMat-Bulk: a relaxed SrTi2HgRu crystal (PBE).

Values from the calculation:
**ΔH_f (0 K)**: 2.212 eV per atom
**Fermi-level density of states**: 8.78 states/eV/f.u.
**Final energy**: -3.197 eV per atom

Unit cell a=4.725 b=4.725 c=5.365 alpha=90.00 beta=90.00 gamma=90.00
Space group P4/mmm (No. 123)
Asymmetric unit:
Sr: 0.000 0.000 0.000 (multiplicity 1)
Ti: 0.000 0.500 0.000 (multiplicity 2)
Hg: 0.000 0.000 0.500 (multiplicity 1)
Ru: 0.500 0.500 0.500 (multiplicity 1)



# 3
Entry from Alexandria via LeMat-Bulk: a relaxed TaHg2Ru crystal (PBE).

Values from the calculation:
**ΔH_f (0 K)**: 0.464 eV per atom
**Fermi-level density of states**: 3.07 states/eV/f.u.
**Final energy**: -4.969 eV per atom

Unit cell a=4.071 b=4.071 c=8.715 alpha=90.00 beta=90.00 gamma=90.00
Space group I4/mmm (No. 139)
Asymmetric unit:
Ta: 0.000 0.000 0.000 (multiplicity 2)
Hg: 0.000 0.500 0.250 (multiplicity 4)
Ru: 0.000 0.000 0.500 (multiplicity 2)



- Which formula does entry 3 have?
  TaHg2Ru



- The lowest Fermi-level density of states belongs to which entry?
  TaHg2Ru



Please write out number 1 again, unchanged.
Entry from Alexandria via LeMat-Bulk: a relaxed SrHg2TeRu crystal (PBE).

Values from the calculation:
**Fermi-level density of states**: 6.61 states/eV/f.u.
**Final energy**: -2.765 eV per atom
**Energy relative to the elements, uncorrected**: 0.18 eV per atom

Unit cell a=5.199 b=5.199 c=6.022 alpha=90.00 beta=90.00 gamma=90.00
Space group P4/mmm (No. 123)
Asymmetric unit:
Sr: 0.000 0.000 0.000 (multiplicity 1)
Hg: 0.000 0.500 0.500 (multiplicity 2)
Te: 0.500 0.500 0.000 (multiplicity 1)
Ru: 0.000 0.000 0.500 (multiplicity 1)